No. 1
A relaxed DyF3 crystal. Source: OQMD, functional GGA-PBE.

Calculated values
**Symmetry**: R-3c, No. 167
**E**: -6.53 eV/atom
**Volume**: 13.78 Å³ per atom

abc: 5.792 5.792 5.792
angles: 51.61 51.61 51.61
Fractional coordinates of all 8 atoms:
Dy: 0.000 0.000 0.000
Dy: 0.500 0.500 0.500
F: 0.060 0.750 0.440
F: 0.250 0.560 0.940
F: 0.440 0.060 0.750
F: 0.560 0.940 0.250
F: 0.750 0.440 0.060
F: 0.940 0.250 0.560

=====

No. 2
A relaxed DyF2 crystal. Source: OQMD, functional GGA-PBE.

Calculated values
**Symmetry**: Fd-3m, No. 227
**E**: -5.81 eV/atom
**Volume**: 36.28 Å³ per atom

abc: 6.752 6.752 6.752
angles: 60.00 60.00 60.00
Fractional coordinates of all 6 atoms:
Dy: 0.125 0.125 0.125
Dy: 0.875 0.875 0.875
F: 0.000 0.000 0.000
F: 0.000 0.000 0.500
F: 0.000 0.500 0.000
F: 0.500 0.000 0.000

=====

No. 3
A relaxed DyF3 crystal. Source: OQMD, functional GGA-PBE.

Calculated values
**Symmetry**: C2/m, No. 12
**E**: -6.59 eV/atom
**Volume**: 13.80 Å³ per atom

abc: 6.388 6.388 3.830
angles: 107.39 107.39 119.01
Fractional coordinates of all 8 atoms:
Dy: 0.159 0.841 0.000
Dy: 0.841 0.159 0.000
F: 0.062 0.412 0.737
F: 0.243 0.243 0.246
F: 0.412 0.062 0.737
F: 0.588 0.938 0.263
F: 0.757 0.757 0.754
F: 0.938 0.588 0.263

=====

No. 4
A relaxed DyF3 crystal. Source: OQMD, functional GGA-PBE.

Calculated values
**Symmetry**: Cmcm, No. 63
**E**: -6.65 eV/atom
**Volume**: 11.39 Å³ per atom

abc: 4.191 4.191 6.774
angles: 90.00 90.00 130.01
Fractional coordinates of all 8 atoms:
Dy: 0.248 0.752 0.750
Dy: 0.752 0.248 0.250
F: 0.052 0.948 0.250
F: 0.348 0.652 0.065
F: 0.348 0.652 0.435
F: 0.652 0.348 0.565
F: 0.652 0.348 0.935
F: 0.948 0.052 0.750

=====

No. 5
A relaxed GdDyF6 crystal. Source: OQMD, functional GGA-PBE.

Calculated values
**Symmetry**: P-6, No. 174
**E**: -6.66 eV/atom
**Volume**: 12.40 Å³ per atom

abc: 5.672 5.672 3.561
angles: 90.00 90.00 120.00
Fractional coordinates of all 8 atoms:
Gd: 0.000 0.000 0.000
Dy: 0.667 0.333 0.500
F: 0.029 0.752 0.500
F: 0.248 0.278 0.500
F: 0.424 0.058 0.000
F: 0.634 0.576 0.000
F: 0.722 0.971 0.500
F: 0.942 0.366 0.000

=====

No. 6
A relaxed GdDyNF2 crystal. Source: OQMD, functional GGA-PBE.

Calculated values
**Symmetry**: P3m1, No. 156
**E**: -7.07 eV/atom
**Volume**: 14.04 Å³ per atom

abc: 3.493 3.493 6.645
angles: 90.00 90.00 120.00
Fractional coordinates of all 5 atoms:
Gd: 0.000 0.000 0.000
Dy: 0.333 0.667 0.401
N: 0.667 0.333 0.206
F: 0.000 0.000 0.576
F: 0.333 0.667 0.814